Entry 1:
The following is a GGA-PBE calculation of an optimized crystal structure of Na2OsOF, from the Alexandria database.

```
data_Na2OsOF
_symmetry_space_group_name_H-M 'P 4/m m m'
_symmetry_Int_Tables_number 123
_symmetry_space_group_name_Hall '-P 4 2'
_cell_length_a 5.653
_cell_length_b 5.653
_cell_length_c 3.932
_cell_angle_alpha 90.00
_cell_angle_beta 90.00
_cell_angle_gamma 90.00
loop_
_atom_site_label
_atom_site_type_symbol
_atom_site_fract_x
_atom_site_fract_y
_atom_site_fract_z
_atom_site_occupancy
Na1 Na 0.000 0.500 0.000 1
Os1 Os 0.000 0.000 0.000 1
O1 O 0.500 0.500 0.500 1
F1 F 0.000 0.000 0.500 1
```

Results
* M_tot: 3.0 μB/cell
* crystal system: tetragonal
* energy relative to the elements, uncorrected: 0.464 eV/atom
* total DFT energy (no corrections): -18.38 eV per cell



Entry 2:
The following is a GGA-PBE calculation of an optimized crystal structure of Na2OsO2F4, from the Alexandria database.

```
data_Na2OsO2F4
_symmetry_space_group_name_H-M 'C 1 2/m 1'
_symmetry_Int_Tables_number 12
_cell_length_a 9.517
_cell_length_b 5.944
_cell_length_c 4.731
_cell_angle_alpha 90.00
_cell_angle_beta 104.33
_cell_angle_gamma 90.00
loop_
_symmetry_equiv_pos_as_xyz
'x,y,z'
'-x,-y,-z'
'-x,y,-z'
'x,-y,z'
'x+1/2,y+1/2,z'
'-x+1/2,-y+1/2,-z'
'-x+1/2,y+1/2,-z'
'x+1/2,-y+1/2,z'
loop_
_atom_site_label
_atom_site_type_symbol
_atom_site_fract_x
_atom_site_fract_y
_atom_site_fract_z
_atom_site_occupancy
Na1 Na 0.196 0.000 0.217 1
Os1 Os 0.000 0.500 0.000 1
O1 O 0.144 0.500 0.315 1
F1 F 0.099 0.252 0.837 1
```

Results
* M_tot: 0.0 μB/cell
* crystal system: monoclinic
* energy relative to the elements, uncorrected: -1.925 eV/atom
* total DFT energy (no corrections): -97.19 eV per cell